No. 1
First-principles (SCAN) data for a PBEsol-optimized structure of CoMoCl, as listed in the Alexandria database.

## Properties
The value obtained for the energy relative to the lowest polymorph listed for this composition is 2.58 eV/f.u. The value obtained for the electronic total energy is -56.36 eV/cell. The formation energy (no corrections) is 1.268 eV/atom.

abc: 4.0148 4.0148 4.0148
angles: 60.00 60.00 60.00
Last column: nearest neighbours and their distance in Å.
Fractional positions:
Mo 0.0000 0.0000 0.0000  4 Co 2.46
Co 0.2500 0.2500 0.2500  4 Cl 2.46, 4 Mo 2.46
Cl 0.5000 0.5000 0.5000  4 Co 2.46



No. 2
First-principles (SCAN) data for a PBEsol-optimized structure of Na2Co5Mo4Cl4O16, as listed in the Alexandria database.

## Properties
The value obtained for the electronic total energy is -420.43 eV/cell. The formation energy (no corrections) is -1.753 eV/atom.

abc: 6.8228 6.8228 10.3588
angles: 74.65 74.65 78.17
Last column: nearest neighbours and their distance in Å.
Fractional positions:
O 0.6108 0.6108 0.3629  1 Mo 1.81, 2 Co 2.02
O 0.4710 0.4710 0.1681  1 Mo 1.73
O 0.0956 0.0956 0.1238  1 Mo 1.78, 1 Co 1.89
O 0.9044 0.9044 0.8762  1 Mo 1.78, 1 Co 1.89
O 0.7116 0.0455 0.6497  1 Mo 1.75
O 0.0455 0.7116 0.6497  1 Mo 1.75
O 0.1847 0.5226 0.4171  1 Mo 1.79
O 0.2884 0.9545 0.3503  1 Mo 1.75
O 0.5290 0.5290 0.8319  1 Mo 1.73
O 0.5226 0.1847 0.4171  1 Mo 1.79
O 0.8687 0.8687 0.3802  1 Mo 1.81, 2 Co 1.99
O 0.9545 0.2884 0.3503  1 Mo 1.75
O 0.1313 0.1313 0.6198  1 Mo 1.81, 2 Co 1.99
O 0.8153 0.4774 0.5829  1 Mo 1.79
O 0.4774 0.8153 0.5829  1 Mo 1.79
O 0.3892 0.3892 0.6371  1 Mo 1.81, 2 Co 2.02
Co 0.9104 0.5763 0.3667  5 O 1.97-2.12
Co 0.5763 0.9104 0.3667  5 O 1.97-2.12
Co 0.0896 0.4237 0.6333  5 O 1.97-2.12
Co 0.0000 0.0000 0.0000  2 O 1.89
Co 0.4237 0.0896 0.6333  5 O 1.97-2.12
Na 0.3311 0.3311 0.0135  3 O 2.29-2.53
Na 0.6689 0.6689 0.9865  3 O 2.29-2.53
Mo 0.5522 0.5522 0.6587  4 O 1.73-1.81
Mo 0.0506 0.0506 0.3059  4 O 1.75-1.81
Mo 0.4478 0.4478 0.3413  4 O 1.73-1.81
Mo 0.9494 0.9494 0.6941  4 O 1.75-1.81
Cl 0.0324 0.6684 0.1231  2 Co 2.28-2.39
Cl 0.9676 0.3316 0.8769  2 Co 2.28-2.39
Cl 0.3316 0.9676 0.8769  2 Co 2.28-2.39
Cl 0.6684 0.0324 0.1231  2 Co 2.28-2.39



No. 3
First-principles (SCAN) data for a PBEsol-optimized structure of CoMoP2Cl, as listed in the Alexandria database.

## Properties
The value obtained for the energy relative to the lowest polymorph listed for this composition is 0.44 eV/f.u. The value obtained for the electronic total energy is -77.21 eV/cell. The formation energy (no corrections) is 0.752 eV/atom.

abc: 4.2295 4.2295 4.5118
angles: 90.00 90.00 90.00
Last column: nearest neighbours and their distance in Å.
Fractional positions:
P 0.0000 0.5000 0.0000  2 Co 2.11
P 0.5000 0.0000 0.0000  2 Co 2.11
Co 0.0000 0.0000 0.0000  4 P 2.11, 2 Cl 2.26
Mo 0.5000 0.5000 0.5000  4 Cl 2.99, 8 P 3.09
Cl 0.0000 0.0000 0.5000  2 Co 2.26